No. 1
The following is a PBE-GGA calculation of a relaxed structure of Ba2Bi5Pd, from the Alexandria database.

Output
The calculation puts the density of states at the Fermi level at 2.4 states/eV/cell. The crystal system is tetragonal. As for the space-group type: I4mm, No. 107. The total moment comes out at 0.00 μB/cell. Its total DFT energy (no corrections) is -32.48 eV for the cell shown. The formation energy is -48.68 kJ/mol of atoms.

Unit cell a=7.184 b=7.184 c=7.472 alpha=118.73 beta=118.73 gamma=90.00
Element x y z (fractional)
Ba1 0.239 0.739 0.478
Ba2 0.739 0.239 0.478
Bi1 0.728 0.255 0.983
Bi2 0.255 0.255 0.983
Bi3 0.728 0.728 0.983
Bi4 0.255 0.728 0.983
Bi5 0.775 0.775 0.551
Pd1 0.058 0.058 0.116



No. 2
The following is a PBE-GGA calculation of a relaxed structure of BaBiPd2, from the Alexandria database.

Output
The calculation puts the density of states at the Fermi level at 3.5 states/eV/cell. The crystal system is monoclinic. As for the space-group type: P2_1/m, No. 11. The total moment comes out at 0.00 μB/cell. Its total DFT energy (no corrections) is -37.22 eV for the cell shown. The formation energy is -58.41 kJ/mol of atoms.

Unit cell a=4.910 b=7.791 c=7.486 alpha=90.00 beta=90.00 gamma=129.02
Element x y z (fractional)
Ba1 0.111 0.860 0.750
Ba2 0.889 0.140 0.250
Bi1 0.905 0.655 0.250
Bi2 0.095 0.345 0.750
Pd1 0.361 0.611 0.444
Pd2 0.639 0.389 0.556
Pd3 0.361 0.611 0.056
Pd4 0.639 0.389 0.944



No. 3
The following is a PBE-GGA calculation of a relaxed structure of Ba2BiPd7, from the Alexandria database.

Output
The calculation puts the density of states at the Fermi level at 8.3 states/eV/cell. The crystal system is tetragonal. As for the space-group type: P-4m2, No. 115. The total moment comes out at 0.00 μB/cell. Its total DFT energy (no corrections) is -47.26 eV for the cell shown. The formation energy is -30.73 kJ/mol of atoms.

Unit cell a=4.375 b=4.375 c=11.981 alpha=90.00 beta=90.00 gamma=90.00
Element x y z (fractional)
Ba1 0.500 0.000 0.725
Ba2 0.000 0.500 0.275
Bi1 0.500 0.500 0.000
Pd1 0.000 0.500 0.857
Pd2 0.500 0.000 0.365
Pd3 0.500 0.000 0.143
Pd4 0.000 0.500 0.635
Pd5 0.000 0.000 0.500
Pd6 0.000 0.000 0.000
Pd7 0.500 0.500 0.500



No. 4
The following is a PBE-GGA calculation of a relaxed structure of Ba3Bi4Pd4, from the Alexandria database.

Output
The calculation puts the density of states at the Fermi level at 5.7 states/eV/cell. The crystal system is orthorhombic. As for the space-group type: Immm, No. 71. The total moment comes out at 0.00 μB/cell. Its total DFT energy (no corrections) is -49.29 eV for the cell shown. The formation energy is -63.38 kJ/mol of atoms. For the offset from the most stable computed form, the calculation gives 22 meV per atom.

Unit cell a=4.872 b=4.977 c=14.165 alpha=100.12 beta=99.90 gamma=90.00
Element x y z (fractional)
Ba1 0.356 0.856 0.713
Ba2 0.644 0.144 0.287
Ba3 0.000 0.000 0.000
Bi1 0.249 0.249 0.499
Bi2 0.096 0.596 0.192
Bi3 0.904 0.404 0.808
Bi4 0.751 0.751 0.501
Pd1 0.802 0.302 0.604
Pd2 0.450 0.450 0.901
Pd3 0.550 0.550 0.099
Pd4 0.198 0.698 0.396



No. 5
The following is a PBE-GGA calculation of a relaxed structure of BaBi2Pd, from the Alexandria database.

Output
The calculation puts the density of states at the Fermi level at 7.8 states/eV/cell. The crystal system is orthorhombic. As for the space-group type: Immm, No. 71. The total moment comes out at 0.00 μB/cell. Its total DFT energy (no corrections) is -69.36 eV for the cell shown. The formation energy is -59.41 kJ/mol of atoms.

Unit cell a=5.104 b=10.198 c=11.095 alpha=117.36 beta=103.30 gamma=90.00
Element x y z (fractional)
Ba1 0.703 0.703 0.407
Ba2 0.500 0.257 0.000
Ba3 0.500 0.743 0.000
Ba4 0.297 0.297 0.593
Bi1 0.920 0.420 0.840
Bi2 0.698 0.358 0.395
Bi3 0.698 0.037 0.395
Bi4 0.302 0.642 0.605
Bi5 0.082 0.082 0.164
Bi6 0.080 0.580 0.160
Bi7 0.918 0.918 0.836
Bi8 0.302 0.963 0.605
Pd1 0.847 0.597 0.694
Pd2 0.153 0.403 0.306
Pd3 0.153 0.903 0.306
Pd4 0.847 0.097 0.694



No. 6
The following is a PBE-GGA calculation of a relaxed structure of Ba3Bi4Pd3, from the Alexandria database.

Output
The calculation puts the density of states at the Fermi level at 15.5 states/eV/cell. The crystal system is cubic. As for the space-group type: I-43d, No. 220. The total moment comes out at 0.00 μB/cell. Its total DFT energy (no corrections) is -85.51 eV for the cell shown. The formation energy is -56.76 kJ/mol of atoms.

Unit cell a=9.291 b=9.291 c=9.291 alpha=109.47 beta=109.47 gamma=109.47
Element x y z (fractional)
Ba1 0.625 0.750 0.875
Ba2 0.875 0.250 0.625
Ba3 0.125 0.375 0.250
Ba4 0.375 0.125 0.750
Ba5 0.250 0.875 0.125
Ba6 0.750 0.625 0.375
Bi1 0.000 0.000 0.347
Bi2 0.500 0.347 0.500
Bi3 0.653 0.153 0.153
Bi4 0.000 0.000 0.847
Bi5 0.847 0.500 0.000
Bi6 0.500 0.847 0.500
Bi7 0.347 0.500 0.000
Bi8 0.153 0.653 0.653
Pd1 0.125 0.750 0.375
Pd2 0.375 0.250 0.125
Pd3 0.625 0.875 0.250
Pd4 0.875 0.625 0.750
Pd5 0.250 0.375 0.625
Pd6 0.750 0.125 0.875



No. 7
The following is a PBE-GGA calculation of a relaxed structure of BaBi2Pd2, from the Alexandria database.

Output
The calculation puts the density of states at the Fermi level at 5.5 states/eV/cell. The crystal system is monoclinic. As for the space-group type: P2_1/m, No. 11. The total moment comes out at 0.00 μB/cell. Its total DFT energy (no corrections) is -46.52 eV for the cell shown. The formation energy is -61.51 kJ/mol of atoms.

Unit cell a=4.938 b=5.002 c=11.009 alpha=88.75 beta=90.00 gamma=90.00
Element x y z (fractional)
Ba1 0.750 0.258 0.240
Ba2 0.250 0.742 0.760
Bi1 0.750 0.214 0.881
Bi2 0.250 0.249 0.499
Bi3 0.750 0.751 0.501
Bi4 0.250 0.786 0.119
Pd1 0.250 0.753 0.374
Pd2 0.250 0.304 0.998
Pd3 0.750 0.247 0.626
Pd4 0.750 0.696 0.002



No. 8
The following is a PBE-GGA calculation of a relaxed structure of Ba2Bi5Pd3, from the Alexandria database.

Output
The calculation puts the density of states at the Fermi level at 13.7 states/eV/cell. The crystal system is orthorhombic. As for the space-group type: Ibam, No. 72. The total moment comes out at 0.00 μB/cell. Its total DFT energy (no corrections) is -88.71 eV for the cell shown. The formation energy is -53.30 kJ/mol of atoms. For the offset from the most stable computed form, the calculation gives 0 meV per atom.

Unit cell a=7.262 b=9.801 c=9.801 alpha=70.78 beta=68.25 gamma=68.25
Element x y z (fractional)
Ba1 0.133 0.614 0.120
Ba2 0.633 0.120 0.614
Ba3 0.867 0.386 0.880
Ba4 0.367 0.880 0.386
Bi1 0.402 0.245 0.951
Bi2 0.902 0.951 0.245
Bi3 0.598 0.755 0.049
Bi4 0.098 0.049 0.755
Bi5 0.497 0.753 0.753
Bi6 0.503 0.247 0.247
Bi7 0.750 0.500 0.500
Bi8 0.250 0.500 0.500
Bi9 0.003 0.247 0.247
Bi10 0.997 0.753 0.753
Pd1 0.372 0.517 0.739
Pd2 0.872 0.739 0.517
Pd3 0.628 0.483 0.261
Pd4 0.128 0.261 0.483
Pd5 0.250 0.000 0.000
Pd6 0.750 0.000 0.000



No. 9
The following is a PBE-GGA calculation of a relaxed structure of Ba4BiPd, from the Alexandria database.

Output
The calculation puts the density of states at the Fermi level at 12.1 states/eV/cell. The crystal system is monoclinic. As for the space-group type: C2/c, No. 15. The total moment comes out at 0.00 μB/cell. Its total DFT energy (no corrections) is -39.81 eV for the cell shown. The formation energy is -50.50 kJ/mol of atoms.

Unit cell a=7.822 b=9.073 c=9.478 alpha=113.39 beta=108.54 gamma=101.40
Element x y z (fractional)
Ba1 0.016 0.227 0.889
Ba2 0.797 0.702 0.641
Ba3 0.373 0.661 0.889
Ba4 0.344 0.938 0.641
Ba5 0.656 0.062 0.359
Ba6 0.627 0.339 0.111
Ba7 0.203 0.298 0.359
Ba8 0.984 0.773 0.111
Bi1 0.384 0.634 0.268
Bi2 0.616 0.366 0.732
Pd1 0.250 0.000 0.000
Pd2 0.750 0.000 0.000



No. 10
The following is a PBE-GGA calculation of a relaxed structure of Ba2Bi3Pd4, from the Alexandria database.

Output
The calculation puts the density of states at the Fermi level at 6.5 states/eV/cell. The crystal system is orthorhombic. As for the space-group type: Cmce, No. 64. The total moment comes out at 0.00 μB/cell. Its total DFT energy (no corrections) is -82.66 eV for the cell shown. The formation energy is -54.34 kJ/mol of atoms.

Unit cell a=6.843 b=7.801 c=9.322 alpha=90.00 beta=111.54 gamma=90.00
Element x y z (fractional)
Ba1 0.101 0.583 0.202
Ba2 0.899 0.417 0.798
Ba3 0.399 0.083 0.798
Ba4 0.601 0.917 0.202
Bi1 0.000 0.000 0.000
Bi2 0.500 0.500 0.000
Bi3 0.511 0.750 0.522
Bi4 0.989 0.250 0.478
Bi5 0.489 0.250 0.478
Bi6 0.011 0.750 0.522
Pd1 0.676 0.750 0.851
Pd2 0.824 0.250 0.149
Pd3 0.324 0.250 0.149
Pd4 0.176 0.750 0.851
Pd5 0.170 0.997 0.339
Pd6 0.830 0.003 0.661
Pd7 0.330 0.497 0.661
Pd8 0.670 0.503 0.339